First-principles (PBE) data for crystalline Pr4SbHPb at its relaxed geometry, as listed in the Alexandria database.

Computed properties:
VASP energy = -35.09 eV per formula unit

Cell: 9.629 9.629 6.605 Å, 90.00 90.00 139.93°
Atoms (fractional coordinates):
Pr  0.000  0.500  0.000
Pr  0.000  0.500  0.500
Pr  0.071  0.929  0.750
Pr  0.428  0.572  0.750
Pr  0.500  0.000  0.000
Pr  0.500  0.000  0.500
Pr  0.572  0.428  0.250
Pr  0.929  0.071  0.250
Sb  0.112  0.888  0.250
Sb  0.888  0.112  0.750
H  0.205  0.795  0.750
H  0.795  0.205  0.250
Pb  0.391  0.609  0.250
Pb  0.609  0.391  0.750

---

First-principles (PBE) data for crystalline Pr2Tm4H2Pb3 at its relaxed geometry, as listed in the Alexandria database.

Computed properties:
VASP energy = -50.02 eV per formula unit

Cell: 12.999 12.999 12.999 Å, 158.98 158.98 29.90°
Atoms (fractional coordinates):
Pr  0.197  0.197  0.000
Pr  0.803  0.803  0.000
Tm  0.082  0.582  0.500
Tm  0.418  0.918  0.500
Tm  0.582  0.082  0.500
Tm  0.918  0.418  0.500
H  0.096  0.096  0.000
H  0.904  0.904  0.000
Pb  0.329  0.329  0.000
Pb  0.500  0.500  0.000
Pb  0.671  0.671  0.000

---

First-principles (PBE) data for crystalline H5Pt4Pb2 at its relaxed geometry, as listed in the Alexandria database.

Computed properties:
VASP energy = -48.57 eV per formula unit

Cell: 5.864 5.864 8.381 Å, 125.42 125.42 42.32°
Atoms (fractional coordinates):
H  0.000  0.000  0.000
H  0.052  0.559  0.819
H  0.441  0.948  0.181
H  0.559  0.052  0.819
H  0.948  0.441  0.181
Pt  0.154  0.154  0.656
Pt  0.156  0.156  0.992
Pt  0.844  0.844  0.008
Pt  0.846  0.846  0.344
Pb  0.441  0.441  0.663
Pb  0.559  0.559  0.337

---

First-principles (PBE) data for crystalline H2Pt3Pb at its relaxed geometry, as listed in the Alexandria database.

Computed properties:
VASP energy = -28.67 eV per formula unit

Cell: 4.989 5.717 6.871 Å, 111.80 104.27 96.01°
Atoms (fractional coordinates):
H  0.020  0.086  0.392
H  0.271  0.365  0.012
H  0.729  0.635  0.988
H  0.980  0.914  0.608
Pt  0.144  0.255  0.721
Pt  0.182  0.715  0.688
Pt  0.339  0.488  0.296
Pt  0.661  0.512  0.704
Pt  0.818  0.285  0.312
Pt  0.856  0.745  0.279
Pb  0.317  0.894  0.145
Pb  0.683  0.106  0.855

---

First-principles (PBE) data for crystalline H4Pt2Pb3 at its relaxed geometry, as listed in the Alexandria database.

Computed properties:
VASP energy = -36.53 eV per formula unit

Cell: 8.136 8.136 4.728 Å, 94.79 94.79 73.43°
Atoms (fractional coordinates):
H  0.012  0.535  0.294
H  0.160  0.214  0.147
H  0.214  0.160  0.647
H  0.465  0.988  0.206
H  0.535  0.012  0.794
H  0.786  0.840  0.353
H  0.840  0.786  0.853
H  0.988  0.465  0.706
Pt  0.144  0.350  0.463
Pt  0.350  0.144  0.963
Pt  0.650  0.856  0.037
Pt  0.856  0.650  0.537
Pb  0.101  0.899  0.750
Pb  0.273  0.523  0.000
Pb  0.477  0.727  0.500
Pb  0.523  0.273  0.500
Pb  0.727  0.477  0.000
Pb  0.899  0.101  0.250

---

First-principles (PBE) data for crystalline H2Pt2Pb at its relaxed geometry, as listed in the Alexandria database.

Computed properties:
energy relative to the lowest polymorph listed for this composition = 0 meV per atom

Cell: 5.456 5.644 5.663 Å, 72.34 63.33 62.76°
Atoms (fractional coordinates):
H  0.153  0.425  0.124
H  0.342  0.877  0.586
H  0.658  0.123  0.414
H  0.847  0.575  0.876
Pt  0.188  0.608  0.753
Pt  0.306  0.254  0.397
Pt  0.694  0.746  0.603
Pt  0.812  0.392  0.247
Pb  0.254  0.824  0.176
Pb  0.746  0.176  0.824

---

First-principles (PBE) data for crystalline H2Pt2Pb at its relaxed geometry, as listed in the Alexandria database.

Computed properties:
energy relative to the lowest polymorph listed for this composition = 158 meV per atom

Cell: 7.242 7.242 3.026 Å, 90.00 90.00 90.00°
Atoms (fractional coordinates):
H  0.208  0.292  0.000
H  0.292  0.792  0.000
H  0.708  0.208  0.000
H  0.792  0.708  0.000
Pt  0.130  0.370  0.500
Pt  0.370  0.870  0.500
Pt  0.630  0.130  0.500
Pt  0.870  0.630  0.500
Pb  0.000  0.000  0.500
Pb  0.500  0.500  0.500

---

First-principles (PBE) data for crystalline H3Pt2Pb at its relaxed geometry, as listed in the Alexandria database.

Computed properties:
VASP energy = -26.08 eV per formula unit

Cell: 5.447 5.661 5.676 Å, 108.90 103.33 90.70°
Atoms (fractional coordinates):
H  0.099  0.348  0.368
H  0.315  0.188  0.924
H  0.318  0.639  0.781
H  0.682  0.361  0.219
H  0.685  0.812  0.076
H  0.901  0.652  0.632
Pt  0.129  0.902  0.800
Pt  0.391  0.311  0.264
Pt  0.609  0.689  0.736
Pt  0.871  0.098  0.200
Pb  0.249  0.793  0.301
Pb  0.751  0.207  0.699